The following is a GGA+U calculation of crystalline Ac2MnCdO6 at its relaxed geometry, from Alexandria.

Geometry as POSCAR:
```
Ac2MnCdO6
1.0
5.8935 0.0000 -0.2832
0.0000 5.7425 0.0000
-2.6132 -2.8712 4.2578
O Ac Cd Mn
6 2 1 1
direct
0.3176 0.7265 0.4529
0.8279 0.7903 0.1086
0.1721 0.2097 0.8914
0.6824 0.2735 0.5471
0.8279 0.3183 0.1086
0.1721 0.6817 0.8914
0.2357 0.2468 0.4937
0.7643 0.7532 0.5063
0.5000 0.0000 0.0000
0.0000 0.5000 0.0000
```

Computed properties:
**Space-group type**: No. 12
**Electronic total energy**: -69.91 eV/cell